No. 1
Below is an optimized crystal structure of ZrCd2Co, with properties calculated at the GGA-PBE level.

Theoretical density (g cm⁻³): 8.21
Energy of formation from the pure elements (eV per atom): 0.24

abc: 9.9846 9.9846 9.9846
angles: 17.19 17.19 17.19
Site moments in Bohr magnetons follow the coordinates.
Fractional positions:
Cd 0.9907 0.9907 0.9907  -0.01
Cd 0.5093 0.5093 0.5093  -0.01
Co 0.2500 0.2500 0.2500  1.71
Zr 0.7500 0.7500 0.7500  0.01

No. 2
Below is an optimized crystal structure of Zn2RuCl, with properties calculated at the GGA-PBE level.

Theoretical density (g cm⁻³): 6.89
Formation energy (no corrections) (meV per atom): 223

abc: 8.2358 8.2358 8.2358
angles: 21.28 21.28 21.28
Site moments in Bohr magnetons follow the coordinates.
Fractional positions:
Cl 0.5039 0.5039 0.5039  0.12
Zn 0.9976 0.9976 0.9976  0.01
Zn 0.7485 0.7485 0.7485  0.01
Ru 0.2499 0.2499 0.2499  1.44

No. 3
Below is an optimized crystal structure of ThGa3Rh, with properties calculated at the GGA-PBE level.

Theoretical density (g cm⁻³): 9.28
Energy of formation from the pure elements (eV per atom): -0.69

abc: 4.2968 4.2968 6.0866
angles: 110.67 110.67 90.00
Fractional positions:
Ga 0.4159 0.4159 0.8317
Ga 0.2633 0.7633 0.5266
Ga 0.7633 0.2633 0.5266
Th 0.0022 0.0022 0.0044
Rh 0.6456 0.6456 0.2911

No. 4
Below is an optimized crystal structure of LiNd4Tm3Te8, with properties calculated at the GGA-PBE level.

Theoretical density (g cm⁻³): 7.30
Formation energy (no corrections) (meV per atom): -1326

abc: 8.6990 8.8825 8.6990
angles: 119.32 120.00 90.00
Fractional positions:
Nd 0.5000 0.0000 0.0000
Nd 0.5000 0.0000 0.5000
Nd 0.0000 0.0000 0.0000
Nd 0.0000 0.0000 0.5000
Tm 0.0000 0.5000 0.5000
Tm 0.5000 0.5000 0.5000
Tm 0.5000 0.5000 0.0000
Te 0.7486 0.7296 0.9891
Te 0.7594 0.2703 0.5189
Te 0.2405 0.7296 0.9891
Te 0.7445 0.7336 0.4890
Te 0.7595 0.2704 0.0109
Te 0.2406 0.7297 0.4811
Te 0.2514 0.2704 0.0109
Te 0.2555 0.2664 0.5110
Li 0.0000 0.5000 0.0000

No. 5
Below is an optimized crystal structure of PuTlI2, with properties calculated at the GGA-PBE level.

Theoretical density (g cm⁻³): 8.18
Formation energy (no corrections) (meV per atom): -613

abc: 3.7975 3.7975 9.8841
angles: 90.00 90.00 90.00
Site moments in Bohr magnetons follow the coordinates.
Fractional positions:
Pu 0.5000 0.5000 0.0000  5.79
I 0.0000 0.0000 0.1942  -0.05
I 0.0000 0.0000 0.8058  -0.05
Tl 0.5000 0.5000 0.5000  0.04

No. 6
Below is an optimized crystal structure of Ce6PuPd, with properties calculated at the GGA-PBE level.

Theoretical density (g cm⁻³): 8.67
Energy of formation from the pure elements (eV per atom): -0.17

abc: 6.2312 6.2312 6.6385
angles: 98.09 98.09 113.72
Fractional positions:
Ce 0.7552 0.7552 0.2979
Ce 0.5329 0.8626 0.7353
Ce 0.1374 0.4671 0.2647
Ce 0.2448 0.2448 0.7021
Ce 0.8626 0.5329 0.7353
Ce 0.4671 0.1374 0.2647
Pd 0.0000 0.0000 0.0000
Pu 0.5000 0.5000 0.5000

No. 7
Below is an optimized crystal structure of SrCdAg, with properties calculated at the GGA-PBE level.

Theoretical density (g cm⁻³): 5.44
Energy of formation from the pure elements (eV per atom): -0.19

abc: 5.1035 5.1035 5.1035
angles: 60.00 60.00 60.00
Fractional positions:
Ag 0.7500 0.7500 0.7500
Cd 0.0000 0.0000 0.0000
Sr 0.5000 0.5000 0.5000

No. 8
Below is an optimized crystal structure of Li2Ca8Mg, with properties calculated at the GGA-PBE level.

Theoretical density (g cm⁻³): 1.47
Energy of formation from the pure elements (eV per atom): 0.05

abc: 5.4351 9.4736 9.5692
angles: 119.67 106.50 90.00
Fractional positions:
Li 0.8011 0.3011 0.6022
Li 0.1989 0.6989 0.3978
Ca 0.3403 0.5578 0.6807
Ca 0.6597 0.8771 0.3193
Ca 0.0000 0.6895 0.0000
Ca 0.1381 0.1381 0.2762
Ca 0.3403 0.1229 0.6807
Ca 0.6597 0.4422 0.3193
Ca 0.0000 0.3105 0.0000
Ca 0.8619 0.8619 0.7238
Mg 0.5000 0.0000 0.0000

No. 9
Below is an optimized crystal structure of Zr2CdW, with properties calculated at the GGA-PBE level.

Theoretical density (g cm⁻³): 9.71
Energy of formation from the pure elements (eV per atom): 0.13

abc: 4.4606 2.9808 6.4344
angles: 73.17 90.00 90.00
Fractional positions:
Zr 0.0000 0.5800 0.5196
Zr 0.0000 0.9200 0.9804
Cd 0.5000 0.2500 0.2500
W 0.5000 0.7500 0.7500

No. 10
Below is an optimized crystal structure of BaMgOs, with properties calculated at the GGA-PBE level.

Theoretical density (g cm⁻³): 7.76
Energy of formation from the pure elements (eV per atom): 0.61

abc: 6.2979 6.2981 3.6170
angles: 73.31 73.32 33.38
Fractional positions:
Ba 0.0129 0.0129 0.9871
Mg 0.2816 0.2816 0.7184
Os 0.7055 0.7055 0.2945

No. 11
Below is an optimized crystal structure of CeTmBi2, with properties calculated at the GGA-PBE level.

Theoretical density (g cm⁻³): 10.31
Energy of formation from the pure elements (eV per atom): -0.60

abc: 3.4171 5.8544 5.8544
angles: 90.00 90.00 90.00
Site moments in Bohr magnetons follow the coordinates.
Fractional positions:
Ce 0.5000 0.5000 0.5000  0.85
Tm 0.5000 0.0000 0.0000  0.09
Bi 0.0000 0.5000 0.0000  -0.02
Bi 0.0000 0.0000 0.5000  -0.02

No. 12
Below is an optimized crystal structure of Mg3HPt, with properties calculated at the GGA-PBE level.

Uncorrected energy (eV per atom): -3.240
Theoretical density (g cm⁻³): 5.93

abc: 5.7829 5.4389 9.6317
angles: 95.59 90.00 90.00
Fractional positions:
H 0.8347 0.0571 0.4455
H 0.6653 0.0571 0.9455
H 0.1653 0.9429 0.5545
H 0.3347 0.9429 0.0545
Pt 0.8308 0.6291 0.1503
Pt 0.3308 0.3709 0.3497
Pt 0.1692 0.3709 0.8497
Pt 0.6692 0.6291 0.6503
Mg 0.5875 0.8102 0.3946
Mg 0.3415 0.6186 0.1102
Mg 0.9125 0.8102 0.8946
Mg 0.5992 0.1037 0.1491
Mg 0.8415 0.3814 0.3898
Mg 0.0992 0.8963 0.3509
Mg 0.6585 0.3814 0.8898
Mg 0.9008 0.1037 0.6491
Mg 0.4008 0.8963 0.8509
Mg 0.0875 0.1898 0.1054
Mg 0.1585 0.6186 0.6102
Mg 0.4125 0.1898 0.6054

No. 13
Below is an optimized crystal structure of Nd3Sm2Ho6Er, with properties calculated at the GGA-PBE level.

Theoretical density (g cm⁻³): 8.10
Energy of formation from the pure elements (eV per atom): 0.02

abc: 6.2060 6.2060 11.8035
angles: 95.01 95.01 119.98
Fractional positions:
Ho 0.9174 0.5846 0.7523
Ho 0.2502 0.2502 0.7521
Ho 0.0826 0.4154 0.2477
Ho 0.4154 0.0826 0.2477
Ho 0.7498 0.7498 0.2479
Ho 0.5846 0.9174 0.7523
Sm 0.6665 0.3335 0.0000
Sm 0.3335 0.6665 0.0000
Nd 0.1667 0.8333 0.5000
Nd 0.8333 0.1667 0.5000
Nd 0.5000 0.5000 0.5000
Er 0.0000 0.0000 0.0000

No. 14
Below is an optimized crystal structure of Ce2Pu4Sb3H2, with properties calculated at the GGA-PBE level.

Uncorrected energy (eV per atom): -8.612
Theoretical density (g cm⁻³): 9.80

abc: 4.5854 4.5854 13.4848
angles: 99.79 99.79 90.00
Site moments in Bohr magnetons follow the coordinates.
Fractional positions:
H 0.6078 0.6078 0.2156  -0.02
H 0.3922 0.3922 0.7844  -0.02
Pu 0.5845 0.0845 0.1689  5.78
Pu 0.0845 0.5845 0.1689  5.78
Pu 0.4155 0.9155 0.8311  5.78
Pu 0.9155 0.4155 0.8311  5.78
Sb 0.1763 0.1763 0.3526  -0.07
Sb 0.8237 0.8237 0.6474  -0.07
Sb 0.0000 0.0000 0.0000  -0.11
Ce 0.6993 0.6993 0.3986  1.10
Ce 0.3007 0.3007 0.6014  1.10

No. 15
Below is an optimized crystal structure of Ca2TbYS4, with properties calculated at the GGA-PBE level.

Theoretical density (g cm⁻³): 4.28
Formation energy (no corrections) (meV per atom): -2060

abc: 3.9474 6.8306 6.9475
angles: 109.17 90.00 90.00
Fractional positions:
S 0.5000 0.7516 0.7542
S 0.5000 0.2484 0.2458
S 0.0000 0.2506 0.7538
S 0.0000 0.7494 0.2462
Ca 0.0000 0.5000 0.5000
Ca 0.5000 0.0000 0.5000
Tb 0.5000 0.5000 0.0000
Y 0.0000 0.0000 0.0000

No. 16
Below is an optimized crystal structure of Cs2KTl2, with properties calculated at the GGA-PBE level.

Theoretical density (g cm⁻³): 4.03
Energy of formation from the pure elements (eV per atom): 0.05

abc: 6.0804 6.0804 9.0370
angles: 70.34 70.34 90.00
Fractional positions:
Tl 0.4091 0.4091 0.1818
Tl 0.5909 0.5909 0.8182
Cs 0.7500 0.2500 0.5000
Cs 0.2500 0.7500 0.5000
K 0.0000 0.0000 0.0000

No. 17
Below is an optimized crystal structure of MgSiClF6, with properties calculated at the GGA-PBE level.

Theoretical density (g cm⁻³): 2.13
Formation energy (no corrections) (meV per atom): -2720

abc: 5.0908 5.0908 7.0191
angles: 90.01 89.99 59.99
Site moments in Bohr magnetons follow the coordinates.
Fractional positions:
F 0.0448 0.6023 0.6382  0.01
F 0.3530 0.6021 0.3618  0.01
F 0.3528 0.0450 0.6382  0.01
F 0.0450 0.3528 0.3618  0.01
F 0.6022 0.0448 0.3618  0.01
F 0.6020 0.3530 0.6382  0.01
Cl 0.0001 0.0001 0.0000  0.71
Si 0.3333 0.3333 0.5000  0.00
Mg 0.6666 0.6666 0.5000  0.00

No. 18
Below is an optimized crystal structure of Ac4PPbI2, with properties calculated at the GGA-PBE level.

Theoretical density (g cm⁻³): 7.64
Formation energy (no corrections) (meV per atom): -1047

abc: 4.6381 8.1681 8.4679
angles: 108.40 90.00 90.00
Fractional positions:
Ac 0.5000 0.2633 0.2114
Ac 0.5000 0.7367 0.7886
Ac 0.0000 0.2867 0.7991
Ac 0.0000 0.7133 0.2009
P 0.5000 0.5000 0.0000
I 0.0000 0.5000 0.5000
I 0.5000 0.0000 0.5000
Pb 0.0000 0.0000 0.0000

No. 19
Below is an optimized crystal structure of Ac6Tl2Cd, with properties calculated at the GGA-PBE level.

Theoretical density (g cm⁻³): 9.04
Energy of formation from the pure elements (eV per atom): -0.21

abc: 5.7814 7.4771 9.1493
angles: 83.01 71.58 67.26
Fractional positions:
Ac 0.9842 0.1996 0.8319
Ac 0.3160 0.1999 0.1681
Ac 0.6840 0.8001 0.8319
Ac 0.6493 0.2013 0.5002
Ac 0.0158 0.8004 0.1681
Ac 0.3507 0.7987 0.4998
Tl 0.6658 0.4999 0.1685
Tl 0.3342 0.5001 0.8315
Cd 0.0000 0.5000 0.5000

No. 20
Below is an optimized crystal structure of Sm12Tl5In2, with properties calculated at the GGA-PBE level.

Theoretical density (g cm⁻³): 8.35
Energy of formation from the pure elements (eV per atom): -0.13

abc: 7.4388 9.5039 9.4090
angles: 83.65 90.00 113.04
Fractional positions:
Sm 0.4040 0.3021 0.4990
Sm 0.4033 0.3282 0.0845
Sm 0.8981 0.3021 0.4990
Sm 0.5960 0.6979 0.5010
Sm 0.9249 0.3282 0.0845
Sm 0.4926 0.9851 0.6896
Sm 0.1019 0.6979 0.5010
Sm 0.5967 0.6718 0.9155
Sm 0.5074 0.0149 0.3104
Sm 0.9598 0.9195 0.1964
Sm 0.0402 0.0805 0.8036
Sm 0.0751 0.6718 0.9155
Tl 0.2289 0.4578 0.7482
Tl 0.7711 0.5422 0.2518
Tl 0.3074 0.6147 0.2292
Tl 0.6926 0.3853 0.7708
Tl 0.0000 0.0000 0.5000
In 0.3179 0.0000 0.0000
In 0.6821 0.0000 0.0000

No. 21
Below is an optimized crystal structure of SrSb2Rh, with properties calculated at the GGA-PBE level.

Theoretical density (g cm⁻³): 6.73
Formation energy (no corrections) (meV per atom): -658

abc: 4.3312 4.3312 7.0420
angles: 72.16 72.16 60.08
Fractional positions:
Sb 0.7209 0.7209 0.8379
Sb 0.9455 0.9455 0.1634
Rh 0.3285 0.3285 0.0147
Sr 0.5051 0.5051 0.4839

No. 22
Below is an optimized crystal structure of Rb2NdSi2O6, with properties calculated at the GGA-PBE level.

Theoretical density (g cm⁻³): 4.02
Formation energy (no corrections) (meV per atom): -2504

abc: 6.0414 6.0418 7.0317
angles: 115.46 90.00 120.00
Site moments in Bohr magnetons follow the coordinates.
Fractional positions:
O 0.2407 0.4815 0.2678  0.06
O 0.7593 0.5185 0.7322  0.06
O 0.2147 0.9742 0.7330  0.06
O 0.7596 0.9742 0.7330  0.06
O 0.7853 0.0258 0.2670  0.06
O 0.2404 0.0258 0.2670  0.06
Rb 0.7163 0.4326 0.1492  0.00
Rb 0.2837 0.5674 0.8508  0.00
Si 0.9289 0.8577 0.7861  0.07
Si 0.0711 0.1423 0.2139  0.07
Nd 0.5000 0.0000 0.5000  0.03

No. 23
Below is an optimized crystal structure of La4Pm5Pb2, with properties calculated at the GGA-PBE level.

Theoretical density (g cm⁻³): 7.00
Energy of formation from the pure elements (eV per atom): 0.12

abc: 5.3935 5.3935 16.2665
angles: 80.46 80.46 60.00
Site moments in Bohr magnetons follow the coordinates.
Fractional positions:
La 0.4254 0.4254 0.7239  0.05
La 0.7260 0.7260 0.8220  0.01
La 0.5746 0.5746 0.2761  0.05
La 0.2740 0.2740 0.1780  0.01
Pb 0.8781 0.8781 0.3658  -0.01
Pb 0.1219 0.1219 0.6342  -0.01
Pm 0.1955 0.1955 0.4135  0.18
Pm 0.5000 0.5000 0.5000  0.41
Pm 0.6487 0.6487 0.0538  -0.03
Pm 0.3513 0.3513 0.9462  -0.03
Pm 0.8045 0.8045 0.5865  0.18

No. 24
Below is an optimized crystal structure of PuPa2Si, with properties calculated at the GGA-PBE level.

Theoretical density (g cm⁻³): 13.45
Formation energy (no corrections) (meV per atom): 188

abc: 3.1264 3.1264 10.8570
angles: 81.72 81.72 60.00
Site moments in Bohr magnetons follow the coordinates.
Fractional positions:
Si 0.5000 0.5000 0.5000  0.00
Pu 0.0000 0.0000 0.0000  5.29
Pa 0.0918 0.0918 0.7245  -0.06
Pa 0.9082 0.9082 0.2755  -0.06